Entry 1:
# LaTl

A relaxed LaTl crystal (PBE-GGA, Alexandria).

Structure (POSCAR):
```
LaTl
1.0
10.052 0.000 0.000
-5.026 8.705 0.000
0.000 0.000 4.668
La Tl
6 6
direct
0.171 0.341 0.250
0.171 0.829 0.250
0.341 0.171 0.750
0.659 0.829 0.250
0.829 0.171 0.750
0.829 0.659 0.750
0.118 0.559 0.750
0.441 0.559 0.750
0.441 0.882 0.750
0.559 0.118 0.250
0.559 0.441 0.250
0.882 0.441 0.250
```

Calculated values
- Electronic total energy: -3.79 eV/atom
- Symmetry: No. 194
- Formation energy: -148 meV per atom
- Total moment: 0.00 μB/f.u.


Entry 2:
# Tb3Zn2Cu2

A relaxed Tb3Zn2Cu2 crystal (PBE-GGA, Alexandria).

Structure (POSCAR):
```
Tb3Zn2Cu2
1.0
2.352 1.358 8.704
-2.352 1.358 8.704
0.000 -2.716 8.704
Tb Zn Cu
3 2 2
direct
0.000 0.000 0.000
0.215 0.215 0.215
0.785 0.785 0.785
0.402 0.402 0.402
0.598 0.598 0.598
0.103 0.103 0.103
0.897 0.897 0.897
```

Calculated values
- Electronic total energy: -3.60 eV/atom
- Symmetry: No. 166
- Formation energy: -77 meV per atom
- Total moment: 0.00 μB/f.u.


Number 2 is which compound?
Tb3Zn2Cu2


Number 1 is which compound?
LaTl